{"formula": "LiBeAuS2", "functional": "GGA-PBE", "state": "relaxed", "lattice_angstrom": [[5.0067, 0.0000, 0.0000], [0.0000, 4.2981, 0.0000], [0.0000, 0.0000, 5.0067]], "species": ["S", "Au", "Li", "S", "Be"], "fractional_positions": [[0.5000, 0.0000, 0.0000], [0.0000, 0.0000, 0.0000], [0.5000, 0.5000, 0.5000], [0.0000, 0.0000, 0.5000], [0.0000, 0.5000, 0.0000]], "dft_energy_ev_per_atom": -3.145, "e_form_raw_ev_per_atom": 0.29}

{"formula": "Li2BeSiAu6", "functional": "GGA-PBE", "state": "relaxed", "lattice_angstrom": [[-5.9229, 2.3451, -1.7394], [-2.9900, -4.6037, 3.9129], [-4.8987, 2.7115, 3.7717]], "species": ["Au", "Li", "Au", "Au", "Au", "Au", "Be", "Si", "Li", "Au"], "fractional_positions": [[0.1748, 0.2580, 0.0775], [0.3874, 0.8129, 0.4366], [0.2043, 0.6933, 0.0120], [0.1981, 0.2145, 0.4901], [0.8019, 0.7855, 0.5099], [0.7957, 0.3067, 0.9880], [0.5000, 0.5000, 0.0000], [0.0000, 0.0000, 0.0000], [0.6126, 0.1871, 0.5634], [0.8252, 0.7420, 0.9225]], "dft_energy_ev_per_atom": -3.436, "e_form_raw_ev_per_atom": -0.17}

{"formula": "Li2SmBeAu4", "functional": "GGA-PBE", "state": "relaxed", "lattice_angstrom": [[-2.4810, 3.5612, -0.7234], [-4.3614, -0.4051, -0.4182], [-3.1705, 2.1090, 7.8738]], "species": ["Au", "Li", "Au", "Be", "Au", "Au", "Sm", "Li"], "fractional_positions": [[0.4031, 0.4031, 0.7908], [0.7607, 0.7607, 0.7178], [0.8653, 0.8653, 0.4040], [0.5000, 0.5000, 0.5000], [0.5969, 0.5969, 0.2092], [0.1347, 0.1347, 0.5960], [0.0000, 0.0000, 0.0000], [0.2393, 0.2393, 0.2822]], "dft_energy_ev_per_atom": -3.683, "formation_energy_ev_per_atom": -0.51}

{"formula": "SrLiBe2Au5", "functional": "GGA-PBE", "state": "relaxed", "lattice_angstrom": [[4.6740, 0.0000, 0.0000], [0.0000, 4.6740, 0.0000], [0.0000, 0.0000, 7.4227]], "species": ["Au", "Au", "Be", "Au", "Be", "Au", "Au", "Sr", "Li"], "fractional_positions": [[0.0000, 0.5000, 0.8000], [0.5000, 0.0000, 0.2000], [0.5000, 0.5000, 0.8312], [0.0000, 0.5000, 0.2000], [0.5000, 0.5000, 0.1688], [0.5000, 0.5000, 0.5000], [0.5000, 0.0000, 0.8000], [0.0000, 0.0000, 0.5000], [0.0000, 0.0000, 0.0000]], "dft_energy_ev_per_atom": -3.381, "formation_energy_ev_per_atom": -0.33}

{"formula": "SrLi2BeAu", "functional": "GGA-PBE", "state": "relaxed", "lattice_angstrom": [[4.8081, 0.0000, 0.0000], [0.0000, 4.8081, 0.0000], [0.0000, 0.0000, 4.5261]], "species": ["Sr", "Li", "Li", "Au", "Be"], "fractional_positions": [[0.5000, 0.5000, 0.5000], [0.5000, 0.0000, 0.0000], [0.0000, 0.5000, 0.0000], [0.0000, 0.0000, 0.5000], [0.0000, 0.0000, 0.0000]], "dft_energy_ev_per_atom": -2.636, "formation_energy_ev_per_atom": -0.13}

{"formula": "LiBeWAu2", "functional": "GGA-PBE", "state": "relaxed", "lattice_angstrom": [[-1.7623, -3.2504, 3.4252], [-0.9143, -3.0238, -3.3399], [4.6144, -1.9616, 0.5127]], "species": ["Au", "Li", "Au", "W", "Be"], "fractional_positions": [[0.0000, 0.0000, 0.5000], [0.5000, 0.5000, 0.5000], [0.5000, 0.0000, 0.0000], [0.0000, 0.0000, 0.0000], [0.0000, 0.5000, 0.0000]], "dft_energy_ev_per_atom": -4.060, "formation_energy_ev_per_atom": 0.97}

{"formula": "LiYBeAu2", "functional": "GGA-PBE", "state": "relaxed", "lattice_angstrom": [[4.5601, 0.0000, 0.0000], [0.0000, 4.5601, 0.0000], [0.0000, 0.0000, 4.3887]], "species": ["Au", "Be", "Y", "Li", "Au"], "fractional_positions": [[0.5000, 0.0000, 0.0000], [0.0000, 0.0000, 0.0000], [0.5000, 0.5000, 0.5000], [0.0000, 0.0000, 0.5000], [0.0000, 0.5000, 0.0000]], "dft_energy_ev_per_atom": -4.093, "formation_energy_ev_per_atom": -0.36}

{"formula": "LuScBeAu", "functional": "GGA-PBE", "state": "relaxed", "lattice_angstrom": [[4.7904, 0.0000, 0.0000], [2.3952, 4.1486, 0.0000], [2.3952, 1.3829, 3.9113]], "species": ["Be", "Lu", "Sc", "Au"], "fractional_positions": [[0.7500, 0.7500, 0.7500], [0.5000, 0.5000, 0.5000], [0.0000, 0.0000, 0.0000], [0.2500, 0.2500, 0.2500]], "dft_energy_ev_per_atom": -4.831, "formation_energy_ev_per_atom": -0.37}

{"formula": "TbLuBeAu", "functional": "GGA-PBE", "state": "relaxed", "lattice_angstrom": [[4.9511, 0.0000, 0.0000], [2.4755, 4.2878, 0.0000], [2.4755, 1.4293, 4.0425]], "species": ["Lu", "Be", "Au", "Tb"], "fractional_positions": [[0.2500, 0.2500, 0.2500], [0.5000, 0.5000, 0.5000], [0.0000, 0.0000, 0.0000], [0.7500, 0.7500, 0.7500]], "dft_energy_ev_per_atom": -4.388, "formation_energy_ev_per_atom": -0.35}

{"formula": "TmLuBeAu", "functional": "GGA-PBE", "state": "relaxed", "lattice_angstrom": [[-0.3448, -2.5079, 4.1986], [-1.3446, -4.7143, -0.0639], [3.2740, -3.4973, 1.0423]], "species": ["Be", "Lu", "Tm", "Au"], "fractional_positions": [[0.5000, 0.5000, 0.5000], [0.2500, 0.2500, 0.2500], [0.7500, 0.7500, 0.7500], [0.0000, 0.0000, 0.0000]], "dft_energy_ev_per_atom": -4.375, "formation_energy_ev_per_atom": -0.38}

{"formula": "MgBe2Au2", "functional": "GGA-PBE", "state": "relaxed", "lattice_angstrom": [[-6.7732, -1.6996, 0.6712], [0.8471, -0.6375, 6.9348], [-0.6844, 2.8643, 0.3469]], "species": ["Au", "Mg", "Be", "Be", "Be", "Mg", "Au", "Au", "Au", "Be"], "fractional_positions": [[0.6499, 0.1499, 0.0000], [0.0000, 0.0000, 0.0000], [0.6434, 0.8566, 0.5000], [0.8566, 0.3566, 0.5000], [0.3566, 0.1434, 0.5000], [0.5000, 0.5000, 0.0000], [0.1499, 0.3501, 0.0000], [0.3501, 0.8501, 0.0000], [0.8501, 0.6499, 0.0000], [0.1434, 0.6434, 0.5000]], "dft_energy_ev_per_atom": -3.285, "formation_energy_ev_per_atom": -0.16}

{"formula": "MgBe5Au6", "functional": "GGA-PBE", "state": "relaxed", "lattice_angstrom": [[4.1712, 0.0013, -0.8199], [-0.0014, 6.1573, 0.0011], [-0.8922, 0.0010, 6.6531]], "species": ["Be", "Mg", "Be", "Be", "Au", "Au", "Be", "Au", "Au", "Be", "Au", "Au"], "fractional_positions": [[0.6669, 0.0006, 0.3332], [0.0000, 0.0000, 0.0000], [0.6576, 0.5000, 0.3202], [0.3331, 0.9994, 0.6668], [0.1737, 0.2578, 0.3487], [0.4998, 0.7325, 0.9996], [0.3424, 0.5000, 0.6798], [0.8268, 0.2594, 0.6523], [0.5002, 0.2675, 0.0004], [0.0000, 0.5000, 0.0000], [0.1732, 0.7406, 0.3477], [0.8263, 0.7422, 0.6514]], "dft_energy_ev_per_atom": -3.487, "formation_energy_ev_per_atom": -0.16}